# 1
Crystalline Tl3InPd at its relaxed geometry, computed with PBE-GGA.

## Properties
- Electronic total energy: -14.7 eV/cell
- ΔE to the lowest computed polymorph: 0.000 eV per atom
- DFT formation energy: 0.308 eV per formula unit
- Space-group type: Pm-3m (221)

Lattice parameters (Å, degrees): 5.3658 5.3658 5.3658 90.00 90.00 90.00
Sites, in units of the cell vectors:
Tl 0.0000 0.5000 0.0000
Tl 0.0000 0.0000 0.5000
Tl 0.5000 0.0000 0.0000
Pd 0.0000 0.0000 0.0000
In 0.5000 0.5000 0.5000

# 2
Crystalline ReSb2IBr at its relaxed geometry, computed with PBE-GGA.

## Properties
- Electronic total energy: -21.5 eV/cell
- ΔE to the lowest computed polymorph: 0.000 eV per atom
- Space-group type: P4/mmm (123)

Lattice parameters (Å, degrees): 5.1692 5.1692 5.6007 90.00 90.00 90.00
Sites, in units of the cell vectors:
Br 0.5000 0.5000 0.5000
Sb 0.0000 0.5000 0.0000
Sb 0.5000 0.0000 0.0000
Re 0.0000 0.0000 0.0000
I 0.0000 0.0000 0.5000

# 3
Crystalline Rb2NiSCl6 at its relaxed geometry, computed with PBE-GGA.

## Properties
- Electronic total energy: -31.7 eV/cell
- Space-group type: I4/mmm (139)

Lattice parameters (Å, degrees): 7.4463 7.4463 6.9569 57.64 57.64 90.00
Each line ends with the local moment (μB).
Sites, in units of the cell vectors:
Cl 0.7812 0.2188 0.0000  -0.02
Cl 0.2543 0.2543 0.4915  -0.02
Cl 0.7457 0.7457 0.5085  -0.02
Cl 0.2188 0.2188 0.0000  -0.02
Cl 0.2188 0.7812 0.0000  -0.02
Cl 0.7812 0.7812 0.0000  -0.02
Rb 0.7500 0.2500 0.5000  0.00
Rb 0.2500 0.7500 0.5000  0.00
Ni 0.0000 0.0000 0.0000  0.30
S 0.5000 0.5000 0.0000  -0.36

# 4
Crystalline Ca2MoRu at its relaxed geometry, computed with PBE-GGA.

## Properties
- Electronic total energy: -20.6 eV/cell
- ΔE to the lowest computed polymorph: 0.658 eV per atom
- DFT formation energy: 3.524 eV per formula unit
- Space-group type: Fm-3m (225)

Lattice parameters (Å, degrees): 4.9951 4.9951 4.9951 60.00 60.00 60.00
Each line ends with the local moment (μB).
Sites, in units of the cell vectors:
Ca 0.2500 0.2500 0.2500  0.05
Ca 0.7500 0.7500 0.7500  0.05
Ru 0.5000 0.5000 0.5000  0.34
Mo 0.0000 0.0000 0.0000  2.60

# 5
Crystalline PaIn2Br2Cl4 at its relaxed geometry, computed with PBE-GGA.

## Properties
- Electronic total energy: -37.7 eV/cell
- Space-group type: C2/m (12)

Lattice parameters (Å, degrees): 7.4307 7.6385 7.6385 57.76 77.24 77.24
Each line ends with the local moment (μB).
Sites, in units of the cell vectors:
Br 0.8235 0.8355 0.8355  -0.01
Br 0.1765 0.1645 0.1645  -0.01
Pa 0.5000 0.0000 0.0000  1.05
Cl 0.6433 0.3488 0.8541  -0.01
Cl 0.3567 0.6512 0.1459  -0.01
Cl 0.3567 0.1459 0.6512  -0.01
Cl 0.6433 0.8541 0.3488  -0.01
In 0.7210 0.2738 0.2738  0.00
In 0.2790 0.7262 0.7262  0.00

# 6
Crystalline Zr2Bi2Br at its relaxed geometry, computed with PBE-GGA.

## Properties
- Electronic total energy: -26.6 eV/cell
- ΔE to the lowest computed polymorph: 0.395 eV per atom
- Space-group type: I4/mmm (139)

Lattice parameters (Å, degrees): 5.2442 5.2442 6.8874 67.62 67.62 90.00
Sites, in units of the cell vectors:
Zr 0.2500 0.7500 0.5000
Zr 0.7500 0.2500 0.5000
Bi 0.3630 0.3630 0.2740
Bi 0.6370 0.6370 0.7260
Br 0.0000 0.0000 0.0000

# 7
Crystalline AlGeTeO6 at its relaxed geometry, computed with PBE-GGA.

## Properties
- Electronic total energy: -109.7 eV/cell
- Space-group type: P-31c (163)

Lattice parameters (Å, degrees): 5.0252 5.0252 8.6278 90.00 90.00 120.00
Sites, in units of the cell vectors:
O 0.0190 0.6789 0.3742
O 0.9810 0.6599 0.8742
O 0.9810 0.3211 0.6258
O 0.6599 0.9810 0.3742
O 0.6789 0.0190 0.8742
O 0.3211 0.3401 0.3742
O 0.3401 0.3211 0.8742
O 0.0190 0.3401 0.1258
O 0.6599 0.6789 0.1258
O 0.6789 0.6599 0.6258
O 0.3211 0.9810 0.1258
O 0.3401 0.0190 0.6258
Te 0.3333 0.6667 0.7500
Te 0.6667 0.3333 0.2500
Al 0.6667 0.3333 0.7500
Al 0.3333 0.6667 0.2500
Ge 0.0000 0.0000 0.5000
Ge 0.0000 0.0000 0.0000

# 8
Crystalline BaAsPSe2 at its relaxed geometry, computed with PBE-GGA.

## Properties
- Electronic total energy: -13.0 eV/cell
- ΔE to the lowest computed polymorph: 1.671 eV per atom
- Space-group type: P4/mmm (123)

Lattice parameters (Å, degrees): 6.0929 6.0929 6.4040 90.00 90.00 90.00
Each line ends with the local moment (μB).
Sites, in units of the cell vectors:
Se 0.5000 0.0000 0.0000  0.62
Se 0.0000 0.5000 0.0000  0.62
Ba 0.0000 0.0000 0.0000  0.04
As 0.0000 0.0000 0.5000  0.69
P 0.5000 0.5000 0.5000  0.35

# 9
Crystalline Y2CuCl at its relaxed geometry, computed with PBE-GGA.

## Properties
- Electronic total energy: -21.9 eV/cell
- ΔE to the lowest computed polymorph: 0.000 eV per atom
- Space-group type: P4mm (99)

Lattice parameters (Å, degrees): 3.9735 3.9717 5.7506 90.00 90.00 90.00
Sites, in units of the cell vectors:
Cu 0.5000 0.5000 0.8741
Y 0.0000 0.0000 0.8756
Y 0.5000 0.5000 0.3746
Cl 0.0000 0.0000 0.3757

# 10
Crystalline CrCuSb2Te at its relaxed geometry, computed with PBE-GGA.

## Properties
- Electronic total energy: -21.7 eV/cell
- ΔE to the lowest computed polymorph: 0.000 eV per atom
- Space-group type: P4/mmm (123)

Lattice parameters (Å, degrees): 5.0204 5.0204 5.1429 90.00 90.00 90.00
Each line ends with the local moment (μB).
Sites, in units of the cell vectors:
Te 0.0000 0.0000 0.5000  -0.01
Sb 0.5000 0.0000 0.0000  -0.07
Sb 0.0000 0.5000 0.0000  -0.07
Cu 0.5000 0.5000 0.5000  -0.02
Cr 0.0000 0.0000 0.0000  1.76

# 11
Crystalline Ca2AgAs at its relaxed geometry, computed with PBE-GGA.

## Properties
- Electronic total energy: -13.9 eV/cell
- DFT formation energy: -2.422 eV per formula unit
- Space-group type: Pmm2 (25)

Lattice parameters (Å, degrees): 4.3432 4.3251 6.0012 90.00 90.00 90.00
Sites, in units of the cell vectors:
Ca 0.5000 0.5000 0.3725
Ca 0.0000 0.0000 0.8768
As 0.5000 0.5000 0.8729
Ag 0.0000 0.0000 0.3778

# 12
Crystalline TlCuIr2 at its relaxed geometry, computed with PBE-GGA.

## Properties
- Electronic total energy: -22.0 eV/cell
- ΔE to the lowest computed polymorph: 0.184 eV per atom
- DFT formation energy: 2.182 eV per formula unit
- Space-group type: Cmmm (65)

Lattice parameters (Å, degrees): 4.7481 4.7481 2.9683 90.00 90.00 106.32
Sites, in units of the cell vectors:
Tl 0.5000 0.0000 0.5000
Ir 0.5000 0.5000 0.0000
Ir 0.0000 0.0000 0.0000
Cu 0.0000 0.5000 0.5000